1.
SrZr4Co after structural relaxation. Source: Alexandria via LeMat-Bulk, functional GGA-PBEsol.

Cell and atoms, written as POSCAR:
```
SrZr4Co
1.0
5.7920 0.0000 0.0000
2.8960 5.0160 0.0000
2.8960 1.6720 4.7291
Zr Sr Co
4 1 1
Cartesian
5.7920 4.9941 1.7812 Zr
7.2210 2.5189 1.7812 Zr
4.3629 2.5189 1.7812 Zr
5.7920 3.3440 4.1148 Zr
0.0000 0.0000 0.0000 Sr
8.6879 5.0160 3.5468 Co
```

Values from the calculation:
Magnetic moment   0.93 μB/cell
DFT formation energy   0.777 eV per atom
SG   F-43m (216)

=====

2.
SrZr2Co after structural relaxation. Source: Alexandria via LeMat-Bulk, functional GGA-PBEsol.

Cell and atoms, written as POSCAR:
```
SrZr2Co
1.0
-1.4396 -2.6730 0.1476
1.3854 -0.4513 5.3383
-4.9091 2.5679 -1.3769
Zr Sr Co
2 1 1
Cartesian
-1.7619 1.0583 1.9807 Zr
-2.4546 1.2840 -0.6884 Zr
-0.0271 -1.5622 2.7429 Sr
-0.7198 -1.3365 0.0738 Co
```

Values from the calculation:
Energy relative to the lowest polymorph listed for this composition   0.6416 eV/atom
Magnetic moment   0.00 μB/cell
DFT formation energy   0.795 eV per atom
SG   Cmmm (65)

=====

3.
SrZr2Co after structural relaxation. Source: Alexandria via LeMat-Bulk, functional GGA-PBEsol.

Cell and atoms, written as POSCAR:
```
SrZr2Co
1.0
3.2722 0.0000 0.0000
0.0000 3.2722 0.0000
0.0000 0.0000 8.3915
Zr Co Sr
2 1 1
Cartesian
1.6361 1.6361 2.5230 Zr
0.0000 0.0000 0.4822 Zr
0.0000 0.0000 3.6993 Co
1.6361 1.6361 5.8827 Sr
```

Values from the calculation:
Energy relative to the lowest polymorph listed for this composition   0.0000 eV/atom
Magnetic moment   0.16 μB/cell
DFT formation energy   0.153 eV per atom
SG   P4mm (99)

=====

4.
SrZr3Co after structural relaxation. Source: Alexandria via LeMat-Bulk, functional GGA-PBEsol.

Cell and atoms, written as POSCAR:
```
SrZr3Co
1.0
4.9342 0.0000 0.0000
0.0000 4.9342 0.0000
0.0000 0.0000 4.9342
Sr Co Zr
1 1 3
Cartesian
0.0000 0.0000 0.0000 Sr
2.4671 2.4671 2.4671 Co
0.0000 2.4671 0.0000 Zr
0.0000 0.0000 2.4671 Zr
2.4671 0.0000 0.0000 Zr
```

Values from the calculation:
Magnetic moment   1.66 μB/cell
DFT formation energy   2.247 eV per atom
SG   Pm-3m (221)

=====

5.
SrZrCo after structural relaxation. Source: Alexandria via LeMat-Bulk, functional GGA-PBEsol.

Cell and atoms, written as POSCAR:
```
SrZrCo
1.0
-1.0424 0.7141 -3.0601
-3.0385 -1.0512 0.7897
0.5224 5.9604 3.0039
Sr Co Zr
1 1 1
Cartesian
-1.0730 4.0939 1.3209 Sr
-0.0959 0.3658 0.1180 Co
-2.3896 1.1636 -0.7054 Zr
```

Values from the calculation:
Energy relative to the lowest polymorph listed for this composition   0.0000 eV/atom
Magnetic moment   0.00 μB/cell
DFT formation energy   0.183 eV per atom
SG   I4mm (107)

=====

6.
TaCo3 after structural relaxation. Source: Alexandria via LeMat-Bulk, functional GGA-PBEsol.

Cell and atoms, written as POSCAR:
```
TaCo3
1.0
4.6319 0.0000 0.0000
-2.3159 4.0113 0.0000
0.0000 0.0000 7.5698
Co Ta
9 3
Cartesian
0.0000 2.6742 3.7746 Co
1.1813 1.9922 5.6581 Co
1.1650 3.3468 1.8928 Co
3.4506 1.9922 5.6581 Co
2.3159 1.3371 3.3633 Co
0.0000 2.6742 7.5354 Co
-1.1650 3.3468 1.8928 Co
0.0000 1.3290 1.8928 Co
2.3159 0.0269 5.6581 Co
0.0000 0.0000 4.1455 Ta
0.0000 0.0000 7.0237 Ta
2.3159 1.3371 0.7082 Ta
```

Values from the calculation:
Magnetic moment   3.85 μB/cell
DFT formation energy   -0.194 eV per atom
SG   P3m1 (156)

=====

7.
TaCo3 after structural relaxation. Source: Alexandria via LeMat-Bulk, functional GGA-PBEsol.

Cell and atoms, written as POSCAR:
```
TaCo3
1.0
3.5862 0.0000 0.0000
0.0000 3.5862 0.0000
0.0000 0.0000 3.5862
Co Ta
3 1
Cartesian
0.0000 1.7931 0.0000 Co
1.7931 0.0000 0.0000 Co
0.0000 0.0000 1.7931 Co
1.7931 1.7931 1.7931 Ta
```

Values from the calculation:
Magnetic moment   0.00 μB/cell
DFT formation energy   -0.273 eV per atom
SG   Pm-3m (221)

=====

8.
Ta4Co3 after structural relaxation. Source: Alexandria via LeMat-Bulk, functional GGA-PBEsol.

Cell and atoms, written as POSCAR:
```
Ta4Co3
1.0
4.8342 0.0000 0.0000
-2.4171 4.1865 0.0000
0.0000 0.0000 4.8937
Co Ta
3 4
Cartesian
1.2085 2.0933 0.0000 Co
2.4171 0.0000 0.0000 Co
-1.2085 2.0933 0.0000 Co
0.0000 0.0000 1.2150 Ta
0.0000 2.7910 2.4469 Ta
2.4171 1.3955 2.4469 Ta
0.0000 0.0000 3.6788 Ta
```

Values from the calculation:
Magnetic moment   0.00 μB/cell
DFT formation energy   -0.210 eV per atom
SG   P6/mmm (191)

=====

Density for the records above, in order: 6.2 6.5 6.1 5.8 5.7 12.7 12.9 15.1 g/cm³
Density of states at the Fermi level for the records above, in order: 12.41 5.09 4.89 9.84 3.63 19.74 3.83 6.18 states/eV/cell